DFT (PBE) results for an optimized crystal structure of Ag7Pt4.

The structure in CIF format:
```
data_Ag7Pt4
_chemical_formula_sum 'Ag7 Pt4'
_cell_length_a 4.9059
_cell_length_b 7.6923
_cell_length_c 5.0147
_cell_angle_alpha 95.98
_cell_angle_beta 98.61
_cell_angle_gamma 91.34
_symmetry_space_group_name_H-M 'P 1'
_symmetry_Int_Tables_number 1
loop_
_symmetry_equiv_pos_as_xyz
'x,y,z'
loop_
_atom_site_label
_atom_site_type_symbol
_atom_site_fract_x
_atom_site_fract_y
_atom_site_fract_z
Ag1 Ag 0.0032 0.0009 0.9933
Ag2 Ag 0.5445 0.0873 0.2661
Ag3 Ag 0.0953 0.1833 0.5447
Ag4 Ag 0.6385 0.2681 0.8208
Ag5 Ag 0.7254 0.4553 0.3633
Ag6 Ag 0.2694 0.5451 0.6412
Ag7 Ag 0.8182 0.6399 0.9159
Pt1 Pt 0.1853 0.3719 0.0939
Pt2 Pt 0.3637 0.7294 0.1929
Pt3 Pt 0.9070 0.8205 0.4545
Pt4 Pt 0.4494 0.8983 0.7133
```

Properties
space group: P1, No. 1
DOS(E_F): 5.298 states/eV per cell
crystal system: triclinic
energy of formation: 0.022 eV per atom


DFT (PBE) results for an optimized crystal structure of Ag7Pt5.

The structure in CIF format:
```
data_Ag7Pt5
_chemical_formula_sum 'Ag7 Pt5'
_cell_length_a 7.5826
_cell_length_b 7.5826
_cell_length_c 7.5826
_cell_angle_alpha 148.80
_cell_angle_beta 115.37
_cell_angle_gamma 73.51
_symmetry_space_group_name_H-M 'P 1'
_symmetry_Int_Tables_number 1
loop_
_symmetry_equiv_pos_as_xyz
'x,y,z'
loop_
_atom_site_label
_atom_site_type_symbol
_atom_site_fract_x
_atom_site_fract_y
_atom_site_fract_z
Ag1 Ag 0.0036 0.0002 0.0033
Ag2 Ag 0.9174 0.1674 0.7500
Ag3 Ag 0.8334 0.3326 0.5007
Ag4 Ag 0.7536 0.5036 0.2500
Ag5 Ag 0.5837 0.8337 0.7500
Ag6 Ag 0.4969 0.0002 0.4967
Ag7 Ag 0.3319 0.3326 0.9993
Pt1 Pt 0.6606 0.6670 0.9935
Pt2 Pt 0.4139 0.1639 0.2500
Pt3 Pt 0.2518 0.5018 0.7500
Pt4 Pt 0.1735 0.6670 0.5065
Pt5 Pt 0.0800 0.8300 0.2500
```

Properties
space group: Imm2, No. 44
DOS(E_F): 6.761 states/eV per cell
crystal system: orthorhombic
energy of formation: 0.029 eV per atom


DFT (PBE) results for an optimized crystal structure of Ag7Pt5.

The structure in CIF format:
```
data_Ag7Pt5
_chemical_formula_sum 'Ag7 Pt5'
_cell_length_a 4.9820
_cell_length_b 4.9820
_cell_length_c 8.5206
_cell_angle_alpha 90.00
_cell_angle_beta 90.00
_cell_angle_gamma 108.80
_symmetry_space_group_name_H-M 'P 1'
_symmetry_Int_Tables_number 1
loop_
_symmetry_equiv_pos_as_xyz
'x,y,z'
loop_
_atom_site_label
_atom_site_type_symbol
_atom_site_fract_x
_atom_site_fract_y
_atom_site_fract_z
Ag1 Ag 0.0000 0.0000 0.0012
Ag2 Ag 0.5000 0.0000 0.8346
Ag3 Ag 0.0000 0.0000 0.6655
Ag4 Ag 0.5000 0.0000 0.4969
Ag5 Ag 0.0000 0.0000 0.3333
Ag6 Ag 0.0000 0.5000 0.8320
Ag7 Ag 0.0000 0.5000 0.1698
Pt1 Pt 0.5000 0.0000 0.1647
Pt2 Pt 0.5000 0.5000 0.0048
Pt3 Pt 0.5000 0.5000 0.6619
Pt4 Pt 0.0000 0.5000 0.5020
Pt5 Pt 0.5000 0.5000 0.3333
```

Properties
space group: C222, No. 21
DOS(E_F): 3.687 states/eV per cell
crystal system: orthorhombic
energy of formation: -0.001 eV per atom


DFT (PBE) results for an optimized crystal structure of Ag3Pt4.

The structure in CIF format:
```
data_Ag3Pt4
_chemical_formula_sum 'Ag3 Pt4'
_cell_length_a 5.1881
_cell_length_b 5.1881
_cell_length_c 5.1178
_cell_angle_alpha 90.00
_cell_angle_beta 90.00
_cell_angle_gamma 120.00
_symmetry_space_group_name_H-M 'P 1'
_symmetry_Int_Tables_number 1
loop_
_symmetry_equiv_pos_as_xyz
'x,y,z'
loop_
_atom_site_label
_atom_site_type_symbol
_atom_site_fract_x
_atom_site_fract_y
_atom_site_fract_z
Ag1 Ag 0.0000 0.5000 0.0000
Ag2 Ag 0.5000 0.5000 0.0000
Ag3 Ag 0.5000 0.0000 0.0000
Pt1 Pt 0.0000 0.0000 0.2578
Pt2 Pt 0.0000 0.0000 0.7422
Pt3 Pt 0.6667 0.3333 0.5000
Pt4 Pt 0.3333 0.6667 0.5000
```

Properties
space group: P6/mmm, No. 191
DOS(E_F): 9.250 states/eV per cell
crystal system: hexagonal
energy of formation: 0.355 eV per atom


Distance to the lowest polymorph of the same formula in eV per atom, matching the order above: 0.007, 0.031, 0.000, 0.312